Entry from the Alexandria database: a relaxed structure of AgMo2Ir (PBE).

```
AgMo2Ir
1.0
-2.6950 -0.6222 1.7898
1.8819 -0.5163 2.6543
-0.4007 5.7942 1.4111
Ag Ir Mo
1 1 2
Cartesian
-0.2022 2.9239 0.7121 Ag
-0.7170 3.9201 3.3154 Ir
-0.3969 5.7385 1.3975 Mo
-0.4988 0.7643 2.5468 Mo
```

Computed properties:
As for the total energy: -31.94 eV/f.u. As for the space group: P4mm (99). As for the total magnetization: 0.00 μB/atom. As for the density of states at the Fermi level: 4.3 states/eV per cell. Its formation energy is 359.6 meV/atom. Its crystal system is tetragonal.